Record 1
Computed, not measured: a relaxed PrCo2Si2 crystal at the PBE level of DFT.

Results
Symmetry   I4/mmm
Energy relative to the elements, uncorrected   -0.7375 eV/atom

abc: 5.7685 5.7685 5.7685
angles: 139.97 139.97 57.89
Closest atoms and distances in Å follow each position.
Atoms (fractional coordinates):
Pr  0.0000  0.0000  0.0000  8 Si 3.10, 8 Co 3.20
Co  0.2500  0.7500  0.5000  4 Si 2.29
Co  0.7500  0.2500  0.5000  4 Si 2.29
Si  0.3655  0.3655  0.0000  4 Co 2.29
Si  0.6345  0.6345  0.0000  4 Co 2.29

***

Record 2
Computed, not measured: a relaxed UNi2Os crystal at the PBE level of DFT.

Results
Formation enthalpy at 0 K   0.421 eV per atom
Symmetry   P-6m2

abc: 4.2353 4.2353 4.7635
angles: 90.00 90.00 120.00
Closest atoms and distances in Å follow each position.
Atoms (fractional coordinates):
U  0.0000  0.0000  0.0000  2 Ni 2.38
Ni  0.0000  0.0000  0.5000  2 U 2.38, 3 Ni 2.45, 3 Os 2.45
Ni  0.3333  0.6667  0.5000  3 Ni 2.45, 3 Os 2.45
Os  0.6667  0.3333  0.5000  6 Ni 2.45

***

Record 3
Computed, not measured: a relaxed Hf2BeP crystal at the PBE level of DFT.

Results
Formation enthalpy at 0 K   -0.895 eV per atom
Symmetry   P2_1/m

abc: 5.1236 3.5115 7.3066
angles: 90.00 110.20 90.00
Closest atoms and distances in Å follow each position.
Atoms (fractional coordinates):
Hf  0.2195  0.2500  0.4256  3 Be 2.63-2.78, 4 P 2.66-2.75
Hf  0.2785  0.7500  0.0728  4 Be 2.65-2.79, 3 P 2.66-2.75
Hf  0.7215  0.2500  0.9272  4 Be 2.65-2.79, 3 P 2.66-2.75
Hf  0.7805  0.7500  0.5744  3 Be 2.63-2.78, 4 P 2.66-2.75
Be  0.1415  0.2500  0.7840  2 P 2.20
Be  0.8585  0.7500  0.2160  2 P 2.20
P  0.3490  0.7500  0.7161  2 Be 2.20
P  0.6510  0.2500  0.2839  2 Be 2.20

***

Record 4
Computed, not measured: a relaxed Tc2AgRu crystal at the PBE level of DFT.

Results
Formation enthalpy at 0 K   0.489 eV per atom
Symmetry   I-4m2

abc: 4.7799 4.7799 4.7799
angles: 131.53 131.53 70.97
Closest atoms and distances in Å follow each position.
Atoms (fractional coordinates):
Tc  0.0000  0.0000  0.0000  4 Tc 2.76, 4 Ag 2.76, 4 Ru 2.77
Tc  0.7500  0.2500  0.5000  4 Tc 2.76, 4 Ru 2.76, 4 Ag 2.77
Ag  0.2500  0.7500  0.5000  8 Tc 2.76-2.77, 4 Ru 2.76
Ru  0.5000  0.5000  0.0000  8 Tc 2.76-2.77, 4 Ag 2.76

***

| no. | total moment (μB per atom) | volume (A^3/atom) | N(E_F) (states/eV per atom) |
| --- | --- | --- | --- |
| 1 | 0.00 | 15.74 | 0.65 |
| 2 | 0.43 | 18.50 | 2.18 |
| 3 | 0.00 | 15.42 | 0.45 |
| 4 | 0.00 | 14.98 | 1.49 |